Record 1
# GdTmAsO PBE-GGA relaxed
data_GdTmAsO
_chemical_formula_sum 'Gd2 Tm2 As2 O2'
_cell_length_a 4.189
_cell_length_b 7.485
_cell_length_c 5.952
_cell_angle_alpha 90.00
_cell_angle_beta 90.00
_cell_angle_gamma 90.00
_symmetry_space_group_name_H-M 'P 1'
_symmetry_Int_Tables_number 1
loop_
_symmetry_equiv_pos_as_xyz
'x,y,z'
loop_
_atom_site_label
_atom_site_type_symbol
_atom_site_fract_x
_atom_site_fract_y
_atom_site_fract_z
As1 As 0.000 0.832 0.428
As2 As 0.000 0.168 0.928
Gd1 Gd 0.000 0.211 0.438
Gd2 Gd 0.000 0.789 0.938
O1 O 0.500 0.336 0.374
O2 O 0.500 0.664 0.874
Tm1 Tm 0.500 0.390 0.014
Tm2 Tm 0.500 0.610 0.514
# Space group: Pmc2_1, No. 26
# Magnetization: 0.0 μB/cell
# Energy above the lowest structure with this stoichiometry: 0 meV per atom

***

Record 2
# ScZnCoSb PBE-GGA relaxed
data_ScZnCoSb
_chemical_formula_sum 'Sc1 Zn1 Co1 Sb1'
_cell_length_a 4.574
_cell_length_b 4.574
_cell_length_c 4.574
_cell_angle_alpha 60.00
_cell_angle_beta 60.00
_cell_angle_gamma 60.00
_symmetry_space_group_name_H-M 'P 1'
_symmetry_Int_Tables_number 1
loop_
_symmetry_equiv_pos_as_xyz
'x,y,z'
loop_
_atom_site_label
_atom_site_type_symbol
_atom_site_fract_x
_atom_site_fract_y
_atom_site_fract_z
Co1 Co 0.250 0.250 0.250
Sb1 Sb 0.000 0.000 0.000
Sc1 Sc 0.750 0.750 0.750
Zn1 Zn 0.500 0.500 0.500
# Space group: F-43m, No. 216
# Magnetization: 0.9 μB/cell
# Energy above the lowest structure with this stoichiometry: 17 meV per atom

***

Record 3
# Lu4SnSbN2 PBE-GGA relaxed
data_Lu4SnSbN2
_chemical_formula_sum 'Lu4 Sn1 Sb1 N2'
_cell_length_a 3.455
_cell_length_b 3.455
_cell_length_c 14.721
_cell_angle_alpha 90.00
_cell_angle_beta 90.00
_cell_angle_gamma 120.00
_symmetry_space_group_name_H-M 'P 1'
_symmetry_Int_Tables_number 1
loop_
_symmetry_equiv_pos_as_xyz
'x,y,z'
loop_
_atom_site_label
_atom_site_type_symbol
_atom_site_fract_x
_atom_site_fract_y
_atom_site_fract_z
Lu1 Lu 0.667 0.333 0.162
Lu2 Lu 0.000 0.000 0.334
Lu3 Lu 0.000 0.000 0.666
Lu4 Lu 0.667 0.333 0.838
N1 N 0.333 0.667 0.248
N2 N 0.333 0.667 0.752
Sb1 Sb 0.000 0.000 0.000
Sn1 Sn 0.667 0.333 0.500
# Space group: P-6m2, No. 187
# Magnetization: 0.0 μB/cell

***

Record 4
# SmInCu4 PBE-GGA relaxed
data_SmInCu4
_chemical_formula_sum 'Sm1 In1 Cu4'
_cell_length_a 5.163
_cell_length_b 5.163
_cell_length_c 5.163
_cell_angle_alpha 60.00
_cell_angle_beta 60.00
_cell_angle_gamma 60.00
_symmetry_space_group_name_H-M 'P 1'
_symmetry_Int_Tables_number 1
loop_
_symmetry_equiv_pos_as_xyz
'x,y,z'
loop_
_atom_site_label
_atom_site_type_symbol
_atom_site_fract_x
_atom_site_fract_y
_atom_site_fract_z
Cu1 Cu 0.874 0.874 0.377
Cu2 Cu 0.874 0.377 0.874
Cu3 Cu 0.377 0.874 0.874
Cu4 Cu 0.874 0.874 0.874
In1 In 0.500 0.500 0.500
Sm1 Sm 0.250 0.250 0.250
# Space group: F-43m, No. 216
# Magnetization: 0.0 μB/cell

***

Record 5
# LiFe PBE-GGA relaxed
data_LiFe
_chemical_formula_sum 'Li2 Fe2'
_cell_length_a 2.443
_cell_length_b 2.443
_cell_length_c 9.160
_cell_angle_alpha 90.00
_cell_angle_beta 90.00
_cell_angle_gamma 120.00
_symmetry_space_group_name_H-M 'P 1'
_symmetry_Int_Tables_number 1
loop_
_symmetry_equiv_pos_as_xyz
'x,y,z'
loop_
_atom_site_label
_atom_site_type_symbol
_atom_site_fract_x
_atom_site_fract_y
_atom_site_fract_z
Fe1 Fe 0.000 0.000 0.057
Fe2 Fe 0.333 0.667 0.557
Li1 Li 0.000 0.000 0.318
Li2 Li 0.333 0.667 0.818
# Space group: P6_3mc, No. 186
# Magnetization: 3.8 μB/cell

***

Record 6
# PmHg PBE-GGA relaxed
data_PmHg
_chemical_formula_sum 'Pm1 Hg1'
_cell_length_a 3.607
_cell_length_b 3.607
_cell_length_c 4.982
_cell_angle_alpha 90.00
_cell_angle_beta 90.00
_cell_angle_gamma 120.00
_symmetry_space_group_name_H-M 'P 1'
_symmetry_Int_Tables_number 1
loop_
_symmetry_equiv_pos_as_xyz
'x,y,z'
loop_
_atom_site_label
_atom_site_type_symbol
_atom_site_fract_x
_atom_site_fract_y
_atom_site_fract_z
Hg1 Hg 0.667 0.333 0.750
Pm1 Pm 0.333 0.667 0.250
# Space group: P-6m2, No. 187
# Magnetization: 0.0 μB/cell

***

Record 7
# PIrPdO PBE-GGA relaxed
data_PIrPdO
_chemical_formula_sum 'P2 Ir2 Pd2 O2'
_cell_length_a 3.982
_cell_length_b 3.982
_cell_length_c 7.550
_cell_angle_alpha 90.00
_cell_angle_beta 90.00
_cell_angle_gamma 90.00
_symmetry_space_group_name_H-M 'P 1'
_symmetry_Int_Tables_number 1
loop_
_symmetry_equiv_pos_as_xyz
'x,y,z'
loop_
_atom_site_label
_atom_site_type_symbol
_atom_site_fract_x
_atom_site_fract_y
_atom_site_fract_z
Ir1 Ir 0.000 0.000 0.500
Ir2 Ir 0.500 0.500 0.500
O1 O 0.000 0.000 0.000
O2 O 0.500 0.500 0.000
P1 P 0.500 0.000 0.332
P2 P 0.000 0.500 0.668
Pd1 Pd 0.000 0.500 0.077
Pd2 Pd 0.500 0.000 0.923
# Space group: P4/nmm, No. 129
# Magnetization: 0.0 μB/cell
# Energy above the lowest structure with this stoichiometry: 101 meV per atom

***

Record 8
# PrEr2Si4Ni4 PBE-GGA relaxed
data_PrEr2Si4Ni4
_chemical_formula_sum 'Pr1 Er2 Si4 Ni4'
_cell_length_a 11.828
_cell_length_b 11.828
_cell_length_c 11.828
_cell_angle_alpha 160.45
_cell_angle_beta 160.35
_cell_angle_gamma 27.85
_symmetry_space_group_name_H-M 'P 1'
_symmetry_Int_Tables_number 1
loop_
_symmetry_equiv_pos_as_xyz
'x,y,z'
loop_
_atom_site_label
_atom_site_type_symbol
_atom_site_fract_x
_atom_site_fract_y
_atom_site_fract_z
Er1 Er 0.650 0.150 0.500
Er2 Er 0.350 0.850 0.500
Ni1 Ni 0.249 0.249 0.000
Ni2 Ni 0.751 0.751 0.000
Ni3 Ni 0.899 0.399 0.500
Ni4 Ni 0.101 0.601 0.500
Pr1 Pr 0.000 0.000 0.000
Si1 Si 0.446 0.446 0.000
Si2 Si 0.554 0.554 0.000
Si3 Si 0.801 0.301 0.500
Si4 Si 0.199 0.699 0.500
# Space group: Immm, No. 71
# Magnetization: 0.0 μB/cell

***

| no. | total DFT energy (no corrections) (eV per atom) |
| --- | --- |
| 1 | -6.67 |
| 2 | -4.86 |
| 3 | -6.57 |
| 4 | -3.97 |
| 5 | -4.80 |
| 6 | -2.81 |
| 7 | -6.27 |
| 8 | -6.07 |